[1]
DFT (GGA-PBE) results for a geometry-optimized Ba2Ag2Sn structure.

Unit cell a=6.553 b=6.553 c=6.207 alpha=58.14 beta=58.14 gamma=90.00
Fractional positions:
Ba 0.750 0.250 0.500
Ba 0.250 0.750 0.500
Ag 0.340 0.340 0.320
Ag 0.660 0.660 0.680
Sn 0.000 0.000 0.000

**Calculated formation energy**: -0.300 eV per atom
**E_tot**: -3.01 eV per atom
**Space group**: I4/mmm, No. 139



[2]
DFT (GGA-PBE) results for a geometry-optimized CeSbPd6 structure.

Unit cell a=4.125 b=4.125 c=8.139 alpha=90.00 beta=90.00 gamma=90.00
Fractional positions:
Ce 0.000 0.000 0.500
Sb 0.000 0.000 0.000
Pd 0.500 0.500 0.000
Pd 0.500 0.500 0.500
Pd 0.500 0.000 0.246
Pd 0.500 0.000 0.754
Pd 0.000 0.500 0.246
Pd 0.000 0.500 0.754

**E_tot**: -5.74 eV per atom
**Energy relative to the elements, uncorrected**: -4.705 eV/f.u.
**Space group**: P4/mmm, No. 123